Entry 1:
This record from OQMD via LeMat-Bulk describes a geometry-optimized LuSn2B structure. The functional is PBE-GGA.

```
LuSn2B
1.0
0.000 3.530 3.530
3.530 0.000 3.530
3.530 3.530 0.000
Lu Sn B
1 2 1
direct
0.000 0.000 0.000 Lu
0.250 0.250 0.250 Sn
0.500 0.500 0.500 Sn
0.750 0.750 0.750 B
```

## Properties
**Crystal system**: cubic
**Mass density**: 7.99 Mg/m³

Entry 2:
This record from OQMD via LeMat-Bulk describes a geometry-optimized Lu2SnB2 structure. The functional is PBE-GGA.

```
Lu2SnB2
1.0
1.599 -7.586 0.000
1.599 7.586 0.000
0.000 0.000 3.551
Lu Sn B
2 1 2
direct
0.149 0.851 0.000 Lu
0.851 0.149 0.000 Lu
0.500 0.500 0.500 Sn
0.268 0.732 0.500 B
0.732 0.268 0.500 B
```

## Properties
**Crystal system**: orthorhombic
**Mass density**: 9.45 Mg/m³

Entry 3:
This record from OQMD via LeMat-Bulk describes a geometry-optimized LuTa2B structure. The functional is PBE-GGA.

```
LuTa2B
1.0
0.000 3.238 3.238
3.238 0.000 3.238
3.238 3.238 0.000
Lu Ta B
1 2 1
direct
0.000 0.000 0.000 Lu
0.250 0.250 0.250 Ta
0.500 0.500 0.500 Ta
0.750 0.750 0.750 B
```

## Properties
**Crystal system**: cubic
**Mass density**: 13.40 Mg/m³

Entry 4:
This record from OQMD via LeMat-Bulk describes a geometry-optimized LuTaB structure. The functional is PBE-GGA.

```
LuTaB
1.0
0.000 3.149 3.149
3.149 0.000 3.149
3.149 3.149 0.000
Lu Ta B
1 1 1
direct
0.000 0.000 0.000 Lu
0.250 0.250 0.250 Ta
0.750 0.750 0.750 B
```

## Properties
**E above lowest polymorph**: 34.6 kJ per mole of atoms
**Crystal system**: cubic
**Mass density**: 9.75 Mg/m³

Entry 5:
This record from OQMD via LeMat-Bulk describes a geometry-optimized Lu2TaB structure. The functional is PBE-GGA.

```
Lu2TaB
1.0
0.000 3.307 3.307
3.307 0.000 3.307
3.307 3.307 0.000
Lu Ta B
2 1 1
direct
0.000 0.000 0.000 Lu
0.250 0.250 0.250 Lu
0.750 0.750 0.750 Ta
0.500 0.500 0.500 B
```

## Properties
**Crystal system**: cubic
**Mass density**: 12.43 Mg/m³

Entry 6:
This record from OQMD via LeMat-Bulk describes a geometry-optimized LuTaB structure. The functional is PBE-GGA.

```
LuTaB
1.0
0.000 3.072 3.072
3.072 0.000 3.072
3.072 3.072 0.000
Lu Ta B
1 1 1
direct
0.000 0.000 0.000 Lu
0.750 0.750 0.750 Ta
0.500 0.500 0.500 B
```

## Properties
**E above lowest polymorph**: 0.0 kJ per mole of atoms
**Crystal system**: cubic
**Mass density**: 10.50 Mg/m³

no.,raw total energy (eV/atom)
1,-4.19
2,-5.83
3,-8.07
4,-5.73
5,-6.07
6,-6.09